# 1
Material: MgAgSb
Method: DFT, GGA-PBE
State: relaxed

```
MgAgSb
1.0
6.878 0.000 0.000
0.001 4.460 -0.003
0.001 0.004 4.460
Mg Sb Ag
2 2 2
direct
0.843 0.952 0.229
0.250 0.452 0.729
0.265 0.952 0.229
0.827 0.452 0.729
0.546 0.452 0.229
0.546 0.952 0.729
```

Properties
The total magnetization comes out at 0.00 Bohr magnetons per cell. For the energy relative to the elements, uncorrected, the calculation gives -0.5 eV per formula unit. The symmetry is P4/nmm. Its distance to the lowest polymorph of the same formula is 49 meV/atom. The value obtained for the energy is -3.030 eV per atom. The calculation puts the density of states at the Fermi level at 0.784 states/eV/cell. Its volume is 22.803 A^3/atom.



# 2
Material: Mg4AgSb
Method: DFT, GGA-PBE
State: relaxed

```
Mg4AgSb
1.0
4.029 -2.153 3.549
2.029 3.214 4.361
-1.370 -1.336 5.459
Mg Sb Ag
4 1 1
direct
0.375 0.375 0.375
0.375 0.375 0.875
0.375 0.875 0.375
0.875 0.375 0.375
0.750 0.750 0.750
0.000 0.000 0.000
```

Properties
The total magnetization comes out at 0.00 Bohr magnetons per cell. For the energy relative to the elements, uncorrected, the calculation gives 0.6 eV per formula unit. The symmetry is F-43m. The value obtained for the energy is -2.122 eV per atom. The calculation puts the density of states at the Fermi level at 5.226 states/eV/cell. Its volume is 22.809 A^3/atom.



# 3
Material: MgAgSb2
Method: DFT, GGA-PBE
State: relaxed

```
MgAgSb2
1.0
5.918 -0.108 -0.030
2.856 5.184 0.030
-4.376 -2.556 3.057
Sb Mg Ag
2 1 1
direct
0.000 0.000 0.000
0.750 0.250 0.500
0.249 0.749 0.500
0.501 0.501 0.000
```

Properties
The total magnetization comes out at 0.00 Bohr magnetons per cell. For the energy relative to the elements, uncorrected, the calculation gives 0.1 eV per formula unit. The symmetry is Imm2. The value obtained for the energy is -3.157 eV per atom. The calculation puts the density of states at the Fermi level at 1.657 states/eV/cell. Its volume is 23.684 A^3/atom.



# 4
Material: MgAgSb
Method: DFT, GGA-PBE
State: relaxed

```
MgAgSb
1.0
-1.510 -4.176 -1.135
4.333 0.574 1.380
-1.078 -0.599 3.635
Sb Ag Mg
1 1 1
direct
0.333 0.667 0.734
0.000 0.000 0.981
0.667 0.333 0.286
```

Properties
The total magnetization comes out at 0.00 Bohr magnetons per cell. For the energy relative to the elements, uncorrected, the calculation gives -0.2 eV per formula unit. The symmetry is P3m1. Its distance to the lowest polymorph of the same formula is 170 meV/atom. The value obtained for the energy is -2.909 eV per atom. The calculation puts the density of states at the Fermi level at 0.694 states/eV/cell. Its volume is 23.280 A^3/atom.



# 5
Material: MgAg3Sb
Method: DFT, GGA-PBE
State: relaxed

```
MgAg3Sb
1.0
-2.263 4.770 -0.309
-4.101 -1.762 2.836
2.455 1.453 4.453
Mg Sb Ag
1 1 3
direct
0.500 0.500 0.500
0.000 0.000 0.000
0.000 0.000 0.500
0.000 0.500 0.000
0.500 0.000 0.000
```

Properties
The total magnetization comes out at 0.00 Bohr magnetons per cell. For the energy relative to the elements, uncorrected, the calculation gives 2.1 eV per formula unit. The symmetry is Pm-3m. Its distance to the lowest polymorph of the same formula is 0 meV/atom. The value obtained for the energy is -2.435 eV per atom. The calculation puts the density of states at the Fermi level at 1.138 states/eV/cell. Its volume is 29.577 A^3/atom.



# 6
Material: MgAgSb2
Method: DFT, GGA-PBE
State: relaxed

```
MgAgSb2
1.0
-2.329 -1.027 4.122
-1.028 -4.425 -1.683
6.098 -5.903 4.822
Ag Sb Mg
2 4 2
direct
0.750 0.250 0.500
0.000 0.000 0.000
0.638 0.125 0.250
0.112 0.625 0.250
0.375 0.362 0.750
0.875 0.888 0.750
0.500 0.500 0.000
0.250 0.750 0.500
```

Properties
The total magnetization comes out at 0.00 Bohr magnetons per cell. For the energy relative to the elements, uncorrected, the calculation gives 0.0 eV per formula unit. The symmetry is I-42d. The value obtained for the energy is -3.177 eV per atom. The calculation puts the density of states at the Fermi level at 2.476 states/eV/cell. Its volume is 26.820 A^3/atom.



# 7
Material: MgAgSb
Method: DFT, GGA-PBE
State: relaxed

```
MgAgSb
1.0
4.761 0.003 0.002
-2.405 7.832 0.036
2.379 -0.783 4.053
Mg Ag Sb
2 2 2
direct
0.425 0.494 0.297
0.848 0.993 0.782
0.176 0.745 0.057
0.592 0.244 0.541
0.800 0.618 0.676
0.220 0.117 0.161
```

Properties
The total magnetization comes out at 0.00 Bohr magnetons per cell. For the energy relative to the elements, uncorrected, the calculation gives -0.5 eV per formula unit. The symmetry is P1. Its distance to the lowest polymorph of the same formula is 59 meV/atom. The value obtained for the energy is -3.020 eV per atom. The calculation puts the density of states at the Fermi level at 0.001 states/eV/cell. Its volume is 25.209 A^3/atom.



# 8
Material: MgAgSb2
Method: DFT, GGA-PBE
State: relaxed

```
MgAgSb2
1.0
4.799 0.000 0.000
0.000 3.363 -0.269
0.000 0.698 5.945
Sb Ag Mg
2 1 1
direct
0.000 0.882 0.915
0.500 0.366 0.340
0.000 0.860 0.414
0.500 0.393 0.831
```

Properties
The total magnetization comes out at 0.00 Bohr magnetons per cell. For the energy relative to the elements, uncorrected, the calculation gives 0.0 eV per formula unit. The symmetry is Pm. The value obtained for the energy is -3.183 eV per atom. The calculation puts the density of states at the Fermi level at 2.250 states/eV/cell. Its volume is 24.212 A^3/atom.



# 9
Material: MgAgSb2
Method: DFT, GGA-PBE
State: relaxed

```
MgAgSb2
1.0
4.150 0.000 0.000
0.000 4.771 0.000
0.000 0.000 4.771
Ag Sb Mg
1 2 1
direct
0.500 0.500 0.000
0.000 0.500 0.500
0.000 0.000 0.000
0.500 0.000 0.500
```

Properties
The total magnetization comes out at 0.00 Bohr magnetons per cell. For the energy relative to the elements, uncorrected, the calculation gives 0.1 eV per formula unit. The symmetry is P4/mmm. The value obtained for the energy is -3.159 eV per atom. The calculation puts the density of states at the Fermi level at 2.154 states/eV/cell. Its volume is 23.615 A^3/atom.



# 10
Material: MgAg2Sb
Method: DFT, GGA-PBE
State: relaxed

```
MgAg2Sb
1.0
-4.330 1.019 2.348
-3.937 -2.229 2.198
1.802 -0.016 5.074
Mg Ag Sb
1 2 1
direct
0.250 0.250 0.250
0.995 0.995 0.026
0.505 0.505 0.474
0.750 0.750 0.750
```

Properties
The total magnetization comes out at 0.00 Bohr magnetons per cell. For the energy relative to the elements, uncorrected, the calculation gives -0.3 eV per formula unit. The symmetry is C2/m. The value obtained for the energy is -2.939 eV per atom. The calculation puts the density of states at the Fermi level at 0.931 states/eV/cell. Its volume is 20.698 A^3/atom.



# 11
Material: Mg4Ag7Sb
Method: DFT, GGA-PBE
State: relaxed

```
Mg4Ag7Sb
1.0
-2.575 -3.448 -3.832
2.055 -4.291 1.686
-7.171 -0.270 4.405
Ag Mg Sb
7 4 1
direct
0.394 0.764 0.444
0.086 0.152 0.668
0.276 0.543 0.104
0.500 0.000 0.000
0.724 0.457 0.896
0.606 0.236 0.556
0.914 0.848 0.332
0.191 0.284 0.368
0.809 0.716 0.632
0.304 0.616 0.760
0.696 0.384 0.240
0.000 0.000 0.000
```

Properties
The total magnetization comes out at 0.00 Bohr magnetons per cell. For the energy relative to the elements, uncorrected, the calculation gives -1.0 eV per formula unit. The symmetry is P-1. The value obtained for the energy is -2.619 eV per atom. The calculation puts the density of states at the Fermi level at 3.707 states/eV/cell. Its volume is 20.037 A^3/atom.



# 12
Material: Mg6Ag12Sb
Method: DFT, GGA-PBE
State: relaxed

```
Mg6Ag12Sb
1.0
7.129 0.470 0.563
-0.616 7.118 0.563
-0.616 -0.718 7.104
Ag Sb Mg
12 1 6
direct
0.471 0.573 0.203
0.832 0.623 0.979
0.529 0.427 0.797
0.427 0.797 0.529
0.203 0.471 0.573
0.797 0.529 0.427
0.979 0.832 0.623
0.623 0.979 0.832
0.021 0.168 0.377
0.573 0.203 0.471
0.168 0.377 0.021
0.377 0.021 0.168
0.000 0.000 0.000
0.115 0.701 0.278
0.701 0.278 0.115
0.278 0.115 0.701
0.299 0.722 0.885
0.722 0.885 0.299
0.885 0.299 0.722
```

Properties
The total magnetization comes out at 0.00 Bohr magnetons per cell. For the energy relative to the elements, uncorrected, the calculation gives -1.8 eV per formula unit. The symmetry is R-3. The value obtained for the energy is -2.618 eV per atom. The calculation puts the density of states at the Fermi level at 6.233 states/eV/cell. Its volume is 19.369 A^3/atom.



# 13
Material: MgAgSb2
Method: DFT, GGA-PBE
State: relaxed

```
MgAgSb2
1.0
-1.273 4.914 2.852
-3.548 2.823 3.653
2.332 -0.675 4.865
Sb Ag Mg
2 1 1
direct
0.023 0.023 0.913
0.232 0.232 0.329
0.475 0.475 0.451
0.770 0.770 0.806
```

Properties
The total magnetization comes out at 0.00 Bohr magnetons per cell. For the energy relative to the elements, uncorrected, the calculation gives -0.1 eV per formula unit. The symmetry is Cm. The value obtained for the energy is -3.190 eV per atom. The calculation puts the density of states at the Fermi level at 1.427 states/eV/cell. Its volume is 23.528 A^3/atom.



# 14
Material: MgAg2Sb
Method: DFT, GGA-PBE
State: relaxed

```
MgAg2Sb
1.0
4.914 0.000 0.000
2.457 4.256 0.000
2.457 1.419 4.012
Sb Ag Mg
1 2 1
direct
0.250 0.250 0.250
0.750 0.750 0.750
0.000 0.000 0.000
0.500 0.500 0.500
```

Properties
The total magnetization comes out at 0.00 Bohr magnetons per cell. For the energy relative to the elements, uncorrected, the calculation gives -0.1 eV per formula unit. The symmetry is F-43m. The value obtained for the energy is -2.881 eV per atom. The calculation puts the density of states at the Fermi level at 1.857 states/eV/cell. Its volume is 20.979 A^3/atom.



# 15
Material: Mg2Ag2Sb
Method: DFT, GGA-PBE
State: relaxed

```
Mg2Ag2Sb
1.0
-3.169 2.530 -0.625
-2.592 -3.163 0.342
-3.311 0.731 6.281
Mg Ag Sb
2 2 1
direct
0.250 0.750 0.500
0.750 0.250 0.500
0.605 0.605 0.789
0.395 0.395 0.211
0.000 0.000 0.000
```

Properties
The total magnetization comes out at 0.00 Bohr magnetons per cell. For the energy relative to the elements, uncorrected, the calculation gives 0.2 eV per formula unit. The symmetry is I4/mmm. Its distance to the lowest polymorph of the same formula is 179 meV/atom. The value obtained for the energy is -2.562 eV per atom. The calculation puts the density of states at the Fermi level at 1.940 states/eV/cell. Its volume is 21.958 A^3/atom.



# 16
Material: MgAgSb
Method: DFT, GGA-PBE
State: relaxed

```
MgAgSb
1.0
-1.000 -7.808 0.341
3.391 -1.838 2.149
-1.450 1.808 3.758
Ag Sb Mg
2 2 2
direct
0.546 0.572 0.109
0.546 0.072 0.609
0.254 0.233 0.951
0.839 0.912 0.267
0.840 0.403 0.774
0.252 0.742 0.443
```

Properties
The total magnetization comes out at 0.00 Bohr magnetons per cell. For the energy relative to the elements, uncorrected, the calculation gives -0.4 eV per formula unit. The symmetry is P-1. Its distance to the lowest polymorph of the same formula is 82 meV/atom. The value obtained for the energy is -2.997 eV per atom. The calculation puts the density of states at the Fermi level at 2.407 states/eV/cell. Its volume is 22.633 A^3/atom.



# 17
Material: MgAg2Sb2
Method: DFT, GGA-PBE
State: relaxed

```
MgAg2Sb2
1.0
3.876 0.000 0.000
0.000 3.876 0.000
1.938 1.938 7.994
Sb Ag Mg
2 2 1
direct
0.608 0.608 0.784
0.392 0.392 0.216
0.750 0.250 0.500
0.250 0.750 0.500
0.000 0.000 0.000
```

Properties
The total magnetization comes out at 0.00 Bohr magnetons per cell. For the energy relative to the elements, uncorrected, the calculation gives 0.3 eV per formula unit. The symmetry is I4/mmm. Its distance to the lowest polymorph of the same formula is 12 meV/atom. The value obtained for the energy is -3.042 eV per atom. The calculation puts the density of states at the Fermi level at 2.304 states/eV/cell. Its volume is 24.023 A^3/atom.



# 18
Material: MgAgSb
Method: DFT, GGA-PBE
State: relaxed

```
MgAgSb
1.0
4.452 0.000 -0.004
0.000 4.320 0.001
0.021 0.002 7.154
Ag Sb Mg
2 2 2
direct
0.095 0.657 0.199
0.597 0.658 0.891
0.097 0.158 0.919
0.594 0.657 0.479
0.093 0.156 0.518
0.595 0.157 0.185
```

Properties
The total magnetization comes out at 0.00 Bohr magnetons per cell. For the energy relative to the elements, uncorrected, the calculation gives -0.4 eV per formula unit. The symmetry is Pm. Its distance to the lowest polymorph of the same formula is 90 meV/atom. The value obtained for the energy is -2.989 eV per atom. The calculation puts the density of states at the Fermi level at 1.224 states/eV/cell. Its volume is 22.932 A^3/atom.



# 19
Material: MgAgSb
Method: DFT, GGA-PBE
State: relaxed

```
MgAgSb
1.0
5.407 0.010 -0.002
-0.157 7.330 -0.081
2.887 0.582 3.761
Ag Sb Mg
2 2 2
direct
0.597 0.851 0.653
0.595 0.228 0.367
0.197 0.111 0.161
0.523 0.612 0.263
0.010 0.911 0.821
0.139 0.499 0.037
```

Properties
The total magnetization comes out at 0.00 Bohr magnetons per cell. For the energy relative to the elements, uncorrected, the calculation gives -0.4 eV per formula unit. The symmetry is P1. Its distance to the lowest polymorph of the same formula is 93 meV/atom. The value obtained for the energy is -2.986 eV per atom. The calculation puts the density of states at the Fermi level at 0.084 states/eV/cell. Its volume is 24.892 A^3/atom.



# 20
Material: MgAg2Sb
Method: DFT, GGA-PBE
State: relaxed

```
MgAg2Sb
1.0
-0.680 4.166 -0.797
-2.914 0.127 3.151
3.164 1.068 2.883
Sb Ag Mg
1 2 1
direct
0.000 0.500 0.500
0.500 0.500 0.000
0.000 0.000 0.000
0.500 0.000 0.500
```

Properties
The total magnetization comes out at 0.00 Bohr magnetons per cell. For the energy relative to the elements, uncorrected, the calculation gives -0.5 eV per formula unit. The symmetry is P4/mmm. The value obtained for the energy is -2.976 eV per atom. The calculation puts the density of states at the Fermi level at 1.083 states/eV/cell. Its volume is 20.339 A^3/atom.



For reference, theoretical density by record: 6164 3966 6585 6037 5274 5815 5576 6441 6605 7257 6727 7048 6629 7159 5840 6210 6685 6129 5647 7385 kg/m3.